# La5Te4 (meta-GGA SCAN, single point on PBEsol structure)
data_La5Te4
_space_group_name_H-M_alt 'P 63/m c m'
_space_group_IT_number 193
_space_group_name_Hall '-P 6c 2'
_cell_length_a 9.5353
_cell_length_b 9.5353
_cell_length_c 6.7846
_cell_angle_alpha 90.00
_cell_angle_beta 90.00
_cell_angle_gamma 120.00
loop_
_atom_site_label
_atom_site_type_symbol
_atom_site_fract_x
_atom_site_fract_y
_atom_site_fract_z
La1 La 0.0000 0.2755 0.2500
La2 La 0.3333 0.6667 0.0000
Te1 Te 0.0000 0.0000 0.0000
Te2 Te 0.0000 0.3851 0.7500
# * magnetic moment: 0.00 μB per cell
# * formation energy from raw total energies: -1.4588 eV per atom